# 1
Material: Cd4In8Ga3
Method: DFT, PBE
State: optimized geometry

Results
The volume is 373.3 Å³/f.u. The density comes out at 7.02 g cm⁻³. The formation enthalpy at 0 K is 0.0420 eV per atom.

abc: 4.560 4.560 17.949
angles: 90.00 90.00 90.00
Element x y z (fractional)
In  0.000  0.500  0.381
In  0.500  0.000  0.102
In  0.500  0.500  0.762
In  0.500  0.000  0.619
In  0.000  0.500  0.898
In  0.500  0.500  0.238
In  0.000  0.000  0.245
In  0.000  0.000  0.755
Ga  0.000  0.000  0.000
Ga  0.500  0.500  0.500
Ga  0.000  0.000  0.500
Cd  0.000  0.500  0.619
Cd  0.500  0.000  0.898
Cd  0.500  0.000  0.381
Cd  0.000  0.500  0.102

---

# 2
Material: AlSbTe2
Method: DFT, PBE
State: optimized geometry

Results
The volume is 121.9 Å³/f.u. The density comes out at 5.50 g cm⁻³. As for the raw formation energy: 0.008 eV per atom. The calculation puts the energy above the lowest structure with this stoichiometry at 94 meV/atom.

abc: 6.663 6.663 4.456
angles: 89.73 89.73 38.03
Element x y z (fractional)
Te  0.252  0.252  0.377
Te  0.997  0.997  0.872
Sb  0.773  0.773  0.877
Al  0.478  0.478  0.374

---

# 3
Material: YTmAsS
Method: DFT, PBE
State: optimized geometry

Results
The volume is 92.3 Å³/f.u. The density comes out at 6.56 g cm⁻³. As for the raw formation energy: -1.668 eV per atom.

abc: 3.930 3.931 7.261
angles: 90.01 105.69 120.00
Last column: magnetic moment on the atom in μB.
Element x y z (fractional)
Tm  0.310  0.553  0.878  0.03
As  0.130  0.963  0.108  0.00
S  0.476  0.136  0.627  0.00
Y  0.962  0.379  0.356  0.07

---

# 4
Material: Co3SBr
Method: DFT, PBE
State: optimized geometry

Results
The volume is 82.6 Å³/f.u. The density comes out at 5.81 g cm⁻³. As for the raw formation energy: 0.464 eV per atom. The calculation puts the energy above the lowest structure with this stoichiometry at 0 meV/atom.

abc: 4.355 4.355 4.355
angles: 90.00 90.00 90.00
Last column: magnetic moment on the atom in μB.
Element x y z (fractional)
Co  0.000  0.500  0.000  2.06
Co  0.000  0.000  0.500  1.58
Co  0.500  0.000  0.000  2.04
S  0.000  0.000  0.000  0.11
Br  0.500  0.500  0.500  0.25

---

# 5
Material: NaIn2Hg2Br6
Method: DFT, PBE
State: optimized geometry

Results
The volume is 378.2 Å³/f.u. The density comes out at 4.98 g cm⁻³. As for the raw formation energy: -0.685 eV per atom.

abc: 8.333 7.137 8.975
angles: 113.36 90.00 125.72
Element x y z (fractional)
Br  0.234  0.467  0.451
Br  0.653  0.781  0.227
Br  0.766  0.533  0.549
Br  0.872  0.219  0.773
Br  0.347  0.219  0.773
Br  0.128  0.781  0.227
Hg  0.371  0.741  0.851
Hg  0.629  0.259  0.149
In  0.009  0.017  0.164
In  0.991  0.983  0.836
Na  0.500  0.000  0.500

---

# 6
Material: ZrSbP2Cl
Method: DFT, PBE
State: optimized geometry

Results
The volume is 124.4 Å³/f.u. The density comes out at 4.14 g cm⁻³. As for the raw formation energy: 0.656 eV per atom. The calculation puts the energy above the lowest structure with this stoichiometry at 675 meV/atom.

abc: 5.052 5.052 4.876
angles: 90.00 90.00 90.00
Last column: magnetic moment on the atom in μB.
Element x y z (fractional)
Cl  0.000  0.000  0.500  -0.01
P  0.500  0.000  0.000  -0.05
P  0.000  0.500  0.000  -0.05
Zr  0.500  0.500  0.500  0.78
Sb  0.000  0.000  0.000  -0.01

---

# 7
Material: CsBi3Rh
Method: DFT, PBE
State: optimized geometry

Results
The volume is 171.1 Å³/f.u. The density comes out at 8.37 g cm⁻³. The calculation puts the energy above the lowest structure with this stoichiometry at 328 meV/atom. The formation enthalpy at 0 K is 0.1001 eV per atom.

abc: 5.551 5.551 5.551
angles: 90.00 90.00 90.00
Element x y z (fractional)
Cs  0.500  0.500  0.500
Bi  0.500  0.000  0.000
Bi  0.000  0.000  0.500
Bi  0.000  0.500  0.000
Rh  0.000  0.000  0.000

---

# 8
Material: Ta2AlFe
Method: DFT, PBE
State: optimized geometry

Results
The volume is 62.6 Å³/f.u. The density comes out at 11.80 g cm⁻³. The formation enthalpy at 0 K is -0.0751 eV per atom.

abc: 4.389 2.829 5.106
angles: 80.75 90.00 90.00
Last column: magnetic moment on the atom in μB.
Element x y z (fractional)
Ta  0.500  0.220  0.275  -0.04
Ta  0.000  0.977  0.964  -0.05
Al  0.000  0.624  0.489  -0.01
Fe  0.500  0.679  0.771  1.23